Al2FeF8 | PBE with a Hubbard U | optimized geometry

Its total energy is -5.61 eV/atom.

It has space group P-3m1 (No. 164), with a = 5.6893 Å, b = 5.6893 Å, c = 6.3098 Å, α = 90.00°, β = 90.00° and γ = 120.00°. The asymmetric unit holds Al at (0.3333, 0.6667, 0.2069), Fe at (0.0000, 0.0000, 0.5000), F at (0.1728, 0.3456, 0.3099) and F at (0.3333, 0.6667, 0.9418).